[1]
Below is a relaxed MoPt2Rh4 crystal, with properties calculated at the PBE level.

Cell: 6.5345 6.5345 12.4752 Å, 90.00 90.00 155.63°
Sites, in units of the cell vectors:
1 Mo 0.1979 0.8021 0.7500
2 Mo 0.8021 0.1979 0.2500
3 Pt 0.3649 0.6351 0.6353
4 Pt 0.3649 0.6351 0.8647
5 Pt 0.6351 0.3649 0.1353
6 Pt 0.6351 0.3649 0.3647
7 Rh 0.0000 0.0000 0.0000
8 Rh 0.0000 0.0000 0.5000
9 Rh 0.3252 0.6748 0.0737
10 Rh 0.3252 0.6748 0.4263
11 Rh 0.4646 0.5354 0.2500
12 Rh 0.5354 0.4646 0.7500
13 Rh 0.6748 0.3252 0.5737
14 Rh 0.6748 0.3252 0.9263

N(E_F), states/eV per atom: 1.246
Calculated formation energy, eV/atom: 0.0939
ΔE to the lowest computed polymorph, eV per atom: 0.274
ρ, Mg/m³: 13.6

---

[2]
Below is a relaxed MoPt2Rh crystal, with properties calculated at the PBE level.

Cell: 4.4447 4.4447 4.4447 Å, 60.00 60.00 60.00°
Sites, in units of the cell vectors:
1 Mo 0.0000 0.0000 0.0000
2 Pt 0.2500 0.2500 0.2500
3 Pt 0.7500 0.7500 0.7500
4 Rh 0.5000 0.5000 0.5000

N(E_F), states/eV per atom: 1.259
Calculated formation energy, eV/atom: 0.0356
ΔE to the lowest computed polymorph, eV per atom: 0.304
ρ, Mg/m³: 15.8

---

[3]
Below is a relaxed Mo2PtRh crystal, with properties calculated at the PBE level.

Cell: 4.7689 4.7689 4.7689 Å, 130.68 130.68 72.32°
Sites, in units of the cell vectors:
1 Mo 0.0000 0.0000 0.0000
2 Mo 0.7500 0.2500 0.5000
3 Pt 0.5000 0.5000 0.0000
4 Rh 0.2500 0.7500 0.5000

N(E_F), states/eV per atom: 0.955
Calculated formation energy, eV/atom: -0.1494
ΔE to the lowest computed polymorph, eV per atom: 0.142
ρ, Mg/m³: 13.3

---

[4]
Below is a relaxed MoPt6Rh3 crystal, with properties calculated at the PBE level.

Cell: 5.5088 4.3542 12.9308 Å, 90.00 96.81 90.00°
Sites, in units of the cell vectors:
1 Mo 0.2288 0.2500 0.4326
2 Mo 0.7712 0.7500 0.5674
3 Pt 0.0714 0.7500 0.7480
4 Pt 0.1550 0.7500 0.1596
5 Pt 0.2660 0.7500 0.5583
6 Pt 0.3451 0.2500 0.8334
7 Pt 0.3820 0.2500 0.0448
8 Pt 0.4680 0.7500 0.3711
9 Pt 0.5320 0.2500 0.6289
10 Pt 0.6180 0.7500 0.9552
11 Pt 0.6549 0.7500 0.1666
12 Pt 0.7340 0.2500 0.4417
13 Pt 0.8450 0.2500 0.8404
14 Pt 0.9286 0.2500 0.2520
15 Rh 0.0352 0.2500 0.6262
16 Rh 0.1097 0.7500 0.9520
17 Rh 0.4279 0.2500 0.2505
18 Rh 0.5721 0.7500 0.7495
19 Rh 0.8903 0.2500 0.0480
20 Rh 0.9648 0.7500 0.3738

N(E_F), states/eV per atom: 1.635
Calculated formation energy, eV/atom: -0.0483
ρ, Mg/m³: 17.0

---

[5]
Below is a relaxed MoPtRh crystal, with properties calculated at the PBE level.

Cell: 5.1886 5.1886 5.1886 Å, 129.79 117.00 84.61°
Sites, in units of the cell vectors:
1 Mo 0.2460 0.0000 0.2460
2 Mo 0.7540 0.0000 0.7540
3 Pt 0.3314 0.3314 0.0000
4 Pt 0.6686 0.6686 0.0000
5 Rh 0.1626 0.6626 0.5000
6 Rh 0.8374 0.3374 0.5000

N(E_F), states/eV per atom: 1.412
Calculated formation energy, eV/atom: -0.0810
ΔE to the lowest computed polymorph, eV per atom: 0.235
ρ, Mg/m³: 14.3

---

[6]
Below is a relaxed MoPt4Rh6 crystal, with properties calculated at the PBE level.

Cell: 4.2985 4.2985 20.2371 Å, 90.00 90.00 114.80°
Sites, in units of the cell vectors:
1 Mo 0.2314 0.7686 0.7500
2 Mo 0.7686 0.2314 0.2500
3 Pt 0.0667 0.9333 0.1266
4 Pt 0.0667 0.9333 0.3734
5 Pt 0.3635 0.6365 0.0459
6 Pt 0.3635 0.6365 0.4541
7 Pt 0.6365 0.3635 0.5459
8 Pt 0.6365 0.3635 0.9541
9 Pt 0.9333 0.0667 0.6266
10 Pt 0.9333 0.0667 0.8734
11 Rh 0.0000 0.0000 0.0000
12 Rh 0.0000 0.0000 0.5000
13 Rh 0.1230 0.8770 0.2500
14 Rh 0.2822 0.7178 0.5953
15 Rh 0.2822 0.7178 0.9047
16 Rh 0.4432 0.5568 0.1846
17 Rh 0.4432 0.5568 0.3154
18 Rh 0.5568 0.4432 0.6846
19 Rh 0.5568 0.4432 0.8154
20 Rh 0.7178 0.2822 0.0953
21 Rh 0.7178 0.2822 0.4047
22 Rh 0.8770 0.1230 0.7500

N(E_F), states/eV per atom: 1.229
Calculated formation energy, eV/atom: 0.1504
ρ, Mg/m³: 14.6

---

[7]
Below is a relaxed MoPt2Rh crystal, with properties calculated at the PBE level.

Cell: 9.2912 9.2912 9.2912 Å, 17.18 17.18 17.18°
Sites, in units of the cell vectors:
1 Mo 0.0000 0.0000 0.0000
2 Pt 0.2514 0.2514 0.2514
3 Pt 0.7486 0.7486 0.7486
4 Rh 0.5000 0.5000 0.5000

N(E_F), states/eV per atom: 1.084
Calculated formation energy, eV/atom: -0.1279
ΔE to the lowest computed polymorph, eV per atom: 0.140
ρ, Mg/m³: 16.0

---

[8]
Below is a relaxed Mo5Pt4Rh2 crystal, with properties calculated at the PBE level.

Cell: 7.0732 17.3657 2.7626 Å, 90.00 90.00 90.00°
Sites, in units of the cell vectors:
1 Mo 0.0000 0.0000 0.0000
2 Mo 0.1293 0.4403 0.0000
3 Mo 0.2399 0.2136 0.0000
4 Mo 0.2601 0.7136 0.0000
5 Mo 0.3707 0.9403 0.0000
6 Mo 0.5000 0.5000 0.0000
7 Mo 0.6293 0.0597 0.0000
8 Mo 0.7399 0.2864 0.0000
9 Mo 0.7601 0.7864 0.0000
10 Mo 0.8707 0.5597 0.0000
11 Pt 0.0719 0.8530 0.5000
12 Pt 0.2182 0.5758 0.5000
13 Pt 0.2818 0.0758 0.5000
14 Pt 0.4281 0.3530 0.5000
15 Pt 0.5719 0.6470 0.5000
16 Pt 0.7182 0.9242 0.5000
17 Pt 0.7818 0.4242 0.5000
18 Pt 0.9281 0.1470 0.5000
19 Rh 0.0488 0.3115 0.5000
20 Rh 0.4512 0.8115 0.5000
21 Rh 0.5488 0.1885 0.5000
22 Rh 0.9512 0.6885 0.5000

N(E_F), states/eV per atom: 0.833
Calculated formation energy, eV/atom: -0.2265
ρ, Mg/m³: 14.3